(1)
Pm2HoTmSe5 | PBE | relaxed

Cell: 5.0842 5.0842 10.6619 Å, 90.00 90.00 90.00°
With the nearest neighbours (Å) after each atom.
Fractional coordinates of all 9 atoms:
1 Se 0.5000 0.0000 0.5000  2 Tm 2.54
2 Se 0.0000 0.0000 0.2464  1 Ho 2.63, 1 Tm 2.70
3 Se 0.0000 0.0000 0.7536  1 Ho 2.63, 1 Tm 2.70
4 Se 0.5000 0.5000 0.0000  2 Pm 3.42, 4 Ho 3.60
5 Se 0.0000 0.5000 0.5000  2 Tm 2.54
6 Pm 0.5000 0.5000 0.3204  5 Se 3.18-3.42
7 Pm 0.5000 0.5000 0.6796  5 Se 3.18-3.42
8 Ho 0.0000 0.0000 0.0000  2 Se 2.63
9 Tm 0.0000 0.0000 0.5000  6 Se 2.54-2.70

Output
- E_tot: -5.255 eV per atom
- Size of the total moment: 0.00 μB/cell

=====

(2)
BaRuCl2 | PBE | relaxed

Cell: 3.9181 5.0326 5.0396 Å, 79.13 90.00 90.00°
With the nearest neighbours (Å) after each atom.
Fractional coordinates of all 4 atoms:
1 Ba 0.5000 0.7500 0.7500  4 Cl 3.11, 2 Ru 3.21
2 Ru 0.5000 0.2500 0.2500  4 Cl 2.45
3 Cl 0.0000 0.4382 0.4387  2 Ru 2.45
4 Cl 0.0000 0.0618 0.0613  2 Ru 2.45

Output
- Energy relative to the lowest polymorph listed for this composition: 9.7 kJ per mole of atoms
- Size of the total moment: 0.00 μB/cell

=====

(3)
HgAu | PBE | relaxed

Cell: 3.1029 3.1029 9.7546 Å, 90.00 90.00 120.00°
With the nearest neighbours (Å) after each atom.
Fractional coordinates of all 4 atoms:
1 Hg 0.0000 0.0000 0.5000  6 Au 3.03, 6 Hg 3.10
2 Hg 0.0000 0.0000 0.0000  6 Au 3.03, 6 Hg 3.10
3 Au 0.3333 0.6667 0.2500  6 Hg 3.03, 6 Au 3.10
4 Au 0.6667 0.3333 0.7500  6 Hg 3.03, 6 Au 3.10

Output
- Energy of formation from the pure elements: 0.113 eV per atom
- Size of the total moment: 0.00 μB/cell

=====

(4)
TiGeO3 | PBE | relaxed

Cell: 3.7242 3.7242 3.7242 Å, 90.00 90.00 90.00°
With the nearest neighbours (Å) after each atom.
Fractional coordinates of all 5 atoms:
1 O 0.5000 0.0000 0.0000  2 Ge 1.86
2 O 0.0000 0.5000 0.0000  2 Ge 1.86
3 O 0.0000 0.0000 0.5000  2 Ge 1.86
4 Ti 0.5000 0.5000 0.5000  12 O 2.63
5 Ge 0.0000 0.0000 0.0000  6 O 1.86

Output
- E_tot: -6.763 eV per atom
- Size of the total moment: 1.92 μB/cell

=====

(5)
Hf2ZnS | PBE | relaxed

Cell: 3.4503 3.4503 8.7460 Å, 78.62 78.62 60.00°
With the nearest neighbours (Å) after each atom.
Fractional coordinates of all 4 atoms:
1 S 0.5000 0.5000 0.5000  6 Hf 2.48
2 Hf 0.1090 0.1090 0.6729  3 S 2.48
3 Hf 0.8910 0.8910 0.3271  3 S 2.48
4 Zn 0.0000 0.0000 0.0000  2 Hf 2.79

Output
- Energy relative to the lowest polymorph listed for this composition: 39.8 kJ per mole of atoms
- Size of the total moment: 0.00 μB/cell

=====

(6)
ZnNiSN2 | PBE | relaxed

Cell: 3.6944 3.6944 5.4536 Å, 90.00 90.00 90.00°
With the nearest neighbours (Å) after each atom.
Fractional coordinates of all 5 atoms:
1 Ni 0.5000 0.5000 0.5000  4 S 2.61
2 Zn 0.0000 0.0000 0.0000  4 N 1.85
3 N 0.0000 0.5000 0.0000  2 Zn 1.85
4 N 0.5000 0.0000 0.0000  2 Zn 1.85
5 S 0.0000 0.0000 0.5000  4 Ni 2.61, 2 Zn 2.73

Output
- Energy relative to the lowest polymorph listed for this composition: 66.1 kJ per mole of atoms
- Size of the total moment: 3.79 μB/cell

=====

(7)
Nd8Tm3In | PBE | relaxed

Cell: 8.4582 8.4582 8.4582 Å, 93.33 118.09 118.09°
With the nearest neighbours (Å) after each atom.
Fractional coordinates of all 12 atoms:
1 Nd 0.0000 0.8750 0.6191  3 Nd 3.12-3.42, 3 Tm 3.27-3.42, 1 In 3.33
2 Nd 0.0000 0.2353 0.7238  1 Tm 3.02, 1 Nd 3.12, 1 In 3.16
3 Nd 0.2559 0.3809 0.3809  3 Nd 3.12-3.42, 3 Tm 3.27-3.42, 1 In 3.33
4 Nd 0.0000 0.6191 0.8750  3 Nd 3.12-3.42, 3 Tm 3.27-3.42, 1 In 3.33
5 Nd 0.7441 0.1250 0.1250  3 Nd 3.12-3.42, 3 Tm 3.27-3.42, 1 In 3.33
6 Nd 0.0000 0.7238 0.2353  1 Tm 3.02, 1 Nd 3.12, 1 In 3.16
7 Nd 0.5115 0.2762 0.2762  1 Tm 3.02, 1 Nd 3.12, 1 In 3.16
8 Nd 0.4885 0.7647 0.7647  1 Tm 3.02, 1 Nd 3.12, 1 In 3.16
9 Tm 0.5000 0.7500 0.2500  4 Nd 3.42
10 Tm 0.5000 0.2500 0.7500  4 Nd 3.42
11 Tm 0.0000 0.5000 0.5000  8 Nd 3.02-3.27
12 In 0.0000 0.0000 0.0000  8 Nd 3.16-3.33

Output
- Energy of formation from the pure elements: 0.444 eV per atom
- Size of the total moment: 0.00 μB/cell

=====

(8)
TbNd2Sm2Y2 | PBE | relaxed

Cell: 5.1183 6.2678 8.0890 Å, 97.47 90.00 114.10°
With the nearest neighbours (Å) after each atom.
Fractional coordinates of all 7 atoms:
1 Nd 0.1425 0.2851 0.4275  1 Tb 3.61, 5 Sm 3.61-3.64, 3 Nd 3.62-3.63, 3 Y 3.63-3.64
2 Nd 0.8575 0.7149 0.5725  1 Tb 3.61, 5 Sm 3.61-3.64, 3 Nd 3.62-3.63, 3 Y 3.63-3.64
3 Y 0.2856 0.5713 0.8593  4 Sm 3.59-3.62, 2 Y 3.59, 3 Tb 3.61, 3 Nd 3.63-3.64
4 Y 0.7144 0.4287 0.1407  4 Sm 3.59-3.62, 2 Y 3.59, 3 Tb 3.61, 3 Nd 3.63-3.64
5 Tb 0.0000 0.0000 0.0000  4 Sm 3.60, 2 Nd 3.61, 6 Y 3.61
6 Sm 0.4291 0.8583 0.2833  4 Y 3.59-3.62, 2 Tb 3.60, 5 Nd 3.61-3.64, 1 Sm 3.65
7 Sm 0.5709 0.1417 0.7167  4 Y 3.59-3.62, 2 Tb 3.60, 5 Nd 3.61-3.64, 1 Sm 3.65

Output
- Energy of formation from the pure elements: 0.016 eV per atom
- Size of the total moment: 0.00 μB/cell

=====

- The highest size of the total moment belongs to which entry?
  ZnNiSN2

=====

- Among the records above, which one has the highest size of the total moment?
  ZnNiSN2